! PBEsol K2InTe, optimized geometry; values from VASP
&SYSTEM
  ibrav = 0, nat = 4, ntyp = 3
/
ATOMIC_SPECIES
Te 127.60 Te.upf
K 39.10 K.upf
In 114.82 In.upf
CELL_PARAMETERS angstrom
4.477 0.000 0.000
0.000 4.477 0.000
0.000 0.000 6.855
ATOMIC_POSITIONS crystal
Te 0.500 0.500 0.000
K 0.000 0.000 0.225
K 0.000 0.000 0.775
In 0.500 0.500 0.500
! space group: P4/mmm
! density of states at the Fermi level: 2.4 states/eV per cell
! raw formation energy: -421 meV/atom